Compound: KErWO5
Source: Alexandria
Functional: PBE with a Hubbard U
Structure: optimized geometry

The structure belongs to space group C2/c (No. 15); the cell edges are 7.705, 10.155 and 8.091 Å and the angles 90.00°, 114.09° and 90.00°. The asymmetric unit holds K at (0.000, 0.185, 0.250), Er at (0.000, 0.500, 0.000), W at (0.000, 0.183, 0.750), O at (0.000, 0.435, 0.250), O at (0.091, 0.286, 0.619) and O at (0.186, 0.077, 0.903).

The value obtained for the spin magnetization is 0.0 μB per cell. The value obtained for the raw total energy is -7.16 eV/atom. Its mass density is 5.40 Mg/m³.